{"formula": "BaSc2Cd", "functional": "GGA-PBE", "state": "optimized geometry", "crystal_system": "tetragonal", "magmom_total_mub_per_cell": 1.3, "energy_ev_per_atom": -3.869, "spacegroup": "P4mm, No. 99", "formation_enthalpy_0k_ev_per_atom": 0.0058, "volume_a3_per_cell": 121, "cell": [[-0.539, -1.423, -3.350], [3.438, -1.312, 0.004], [-2.907, -7.609, 3.701]], "species": ["Ba", "Cd", "Sc", "Sc"], "frac_coords": [[0.000, 0.000, 0.521], [0.500, 0.500, 0.809], [0.000, 0.000, 0.982], [0.500, 0.500, 0.188]]}